This record from Alexandria describes a relaxed structure of SiRh2SeF. The functional is PBE.

Cell: 4.5186 4.6917 4.5186 Å, 90.00 90.00 90.00°
Site moments in Bohr magnetons follow the coordinates.
Atoms (fractional coordinates):
Si 0.0000 0.0000 0.0000  -0.02
Rh 0.0000 0.0000 0.5000  0.61
Rh 0.5000 0.0000 0.0000  0.49
Se 0.0000 0.5000 0.0000  0.11
F 0.5000 0.5000 0.5000  0.06

## Properties
Magnetization in μB per atom: 0.263
DFT total energy in Ry/atom: -0.3421
ΔE_f (raw) in eV/atom: 0.44



This record from Alexandria describes a relaxed structure of PmMg7Ag5. The functional is PBE.

Cell: 5.6550 7.4825 7.4825 Å, 82.68 67.80 67.80°
Atoms (fractional coordinates):
Pm 0.0049 0.9951 0.9951
Mg 0.6560 0.3440 0.3440
Mg 0.3423 0.6577 0.6577
Mg 0.9910 0.3542 0.6637
Mg 0.9910 0.6637 0.3542
Mg 0.2807 0.2193 0.2193
Mg 0.5063 0.7890 0.1985
Mg 0.5063 0.1985 0.7890
Ag 0.4995 0.0041 0.4935
Ag 0.0029 0.0041 0.4935
Ag 0.4995 0.4935 0.0041
Ag 0.0029 0.4935 0.0041
Ag 0.7165 0.7835 0.7835

## Properties
Magnetization in μB per atom: 0.000
DFT total energy in Ry/atom: -0.1849
E_form in meV per atom: -194.9



This record from Alexandria describes a relaxed structure of Np2Mn2Ni15. The functional is PBE.

Cell: 6.2667 6.2667 6.2667 Å, 82.82 82.82 82.82°
Site moments in Bohr magnetons follow the coordinates.
Atoms (fractional coordinates):
Np 0.3406 0.3406 0.3406  -3.49
Np 0.6594 0.6594 0.6594  -3.49
Mn 0.1032 0.1032 0.1032  3.25
Mn 0.8968 0.8968 0.8968  3.25
Ni 0.5000 0.0000 0.0000  0.48
Ni 0.0000 0.0000 0.5000  0.48
Ni 0.0000 0.5000 0.0000  0.48
Ni 0.0000 0.6991 0.3009  0.42
Ni 0.6991 0.3009 0.0000  0.42
Ni 0.3009 0.0000 0.6991  0.42
Ni 0.3009 0.6991 0.0000  0.42
Ni 0.6991 0.0000 0.3009  0.42
Ni 0.0000 0.3009 0.6991  0.42
Ni 0.1571 0.6523 0.6523  0.48
Ni 0.6523 0.6523 0.1571  0.48
Ni 0.6523 0.1571 0.6523  0.48
Ni 0.8429 0.3477 0.3477  0.48
Ni 0.3477 0.3477 0.8429  0.48
Ni 0.3477 0.8429 0.3477  0.48

## Properties
Magnetization in μB per atom: 0.295
DFT total energy in Ry/atom: -0.5136
E_form in meV per atom: -96.0



This record from Alexandria describes a relaxed structure of NaLaH. The functional is PBE.

Cell: 3.9193 4.0112 12.4170 Å, 82.43 90.00 119.24°
Atoms (fractional coordinates):
Na 0.3756 0.7512 0.3798
Na 0.6244 0.2488 0.6202
H 0.1856 0.3711 0.9256
H 0.8144 0.6289 0.0744
La 0.1307 0.2614 0.1192
La 0.8693 0.7386 0.8808

## Properties
Magnetization in μB per atom: 0.014
Excess energy over the best structure of this formula in the dataset in eV per formula unit: 0.000
DFT total energy in Ry/atom: -0.2509



This record from Alexandria describes a relaxed structure of Sr2YNpS6. The functional is PBE.

Cell: 6.9442 7.4197 10.1085 Å, 90.00 89.94 90.00°
Site moments in Bohr magnetons follow the coordinates.
Atoms (fractional coordinates):
Sr 0.0266 0.9203 0.2508  0.00
Sr 0.5266 0.5797 0.7508  0.00
Sr 0.9734 0.0797 0.7492  0.00
Sr 0.4734 0.4203 0.2492  0.00
Y 0.5000 0.0000 0.0000  -0.01
Y 0.0000 0.5000 0.5000  -0.01
Np 0.5000 0.0000 0.5000  2.56
Np 0.0000 0.5000 0.0000  2.56
S 0.3025 0.6902 0.0575  -0.07
S 0.8025 0.8098 0.5575  -0.07
S 0.6975 0.3098 0.9425  -0.07
S 0.1975 0.1902 0.4425  -0.07
S 0.3155 0.7016 0.4398  -0.06
S 0.8155 0.7984 0.9398  -0.06
S 0.6845 0.2984 0.5602  -0.06
S 0.1845 0.2016 0.0602  -0.06
S 0.8874 0.5350 0.2442  -0.07
S 0.3874 0.9650 0.7442  -0.07
S 0.1126 0.4650 0.7558  -0.07
S 0.6126 0.0350 0.2558  -0.07

## Properties
Magnetization in μB per atom: 0.200
DFT total energy in Ry/atom: -0.4785
ΔE_f (raw) in eV/atom: -1.76



This record from Alexandria describes a relaxed structure of LiTiCl3. The functional is PBE.

Cell: 5.0912 5.0912 4.9026 Å, 90.00 90.00 90.00°
Site moments in Bohr magnetons follow the coordinates.
Atoms (fractional coordinates):
Li 0.5000 0.5000 0.5000  0.00
Ti 0.0000 0.0000 0.5000  1.65
Cl 0.5000 0.0000 0.5000  0.00
Cl 0.0000 0.5000 0.5000  0.00
Cl 0.0000 0.0000 0.0000  -0.02

## Properties
Magnetization in μB per atom: 0.400
Excess energy over the best structure of this formula in the dataset in eV per formula unit: 0.547
DFT total energy in Ry/atom: -0.3279
ΔE_f (raw) in eV/atom: -1.39



What is the formula in the second record?
PmMg7Ag5